VASP calculation (PBE) on an optimized crystal structure of YCrOs2.

Cell lengths 2.917, 2.917, 8.184 Å; angles 90.00, 90.00, 90.00 degrees
Space group P4mm (No. 99)
Symmetry-distinct sites (fractional):
Y1 0.000 0.000 0.000
Cr1 0.500 0.500 0.308
Os1 0.000 0.000 0.518
Os2 0.500 0.500 0.721

Calculated values
- energy above the most stable polymorph in this dataset (meV per atom) = 198

VASP calculation (PBE) on an optimized crystal structure of Nd3Cd4Ga2.

Cell lengths 11.170, 4.862, 9.178 Å; angles 90.00, 115.81, 90.00 degrees
Space group C2/m (No. 12)
Symmetry-distinct sites (fractional):
Nd1 0.000 0.000 0.000
Nd2 0.166 0.500 0.668
Cd1 0.070 0.000 0.400
Cd2 0.206 0.500 0.044
Ga1 0.108 0.500 0.275

Calculated values
- final energy (eV/atom) = -3.092

VASP calculation (PBE) on an optimized crystal structure of CsPu2UO8.

Cell lengths 5.272, 5.281, 8.480 Å; angles 88.39, 87.86, 87.58 degrees
Space group P-1 (No. 2)
Symmetry-distinct sites (fractional):
Cs1 0.000 0.000 0.000
Pu1 0.488 0.486 0.302
U1 0.000 0.000 0.500
O1 0.180 0.806 0.671
O2 0.202 0.824 0.328
O3 0.316 0.322 0.495
O4 0.355 0.367 0.876

Calculated values
- formation energy from raw total energies (eV/atom) = -2.70